{"formula": "Ac4LaSm2", "functional": "PBE", "state": "optimized geometry", "lattice_angstrom": [[9.975, 0.000, 0.000], [0.000, 9.975, 0.000], [0.000, 0.000, 6.156]], "species": ["Ac", "Ac", "Ac", "Ac", "Ac", "Ac", "Ac", "Ac", "La", "La", "Sm", "Sm", "Sm", "Sm"], "fractional_positions": [[0.098, 0.356, 0.000], [0.144, 0.598, 0.500], [0.356, 0.098, 0.000], [0.402, 0.856, 0.500], [0.598, 0.144, 0.500], [0.644, 0.902, 0.000], [0.856, 0.402, 0.500], [0.902, 0.644, 0.000], [0.000, 0.000, 0.000], [0.500, 0.500, 0.500], [0.177, 0.177, 0.500], [0.323, 0.677, 0.000], [0.677, 0.323, 0.000], [0.823, 0.823, 0.500]], "ef_mev_per_atom": 284, "space_group": "P4_2/mnm, No. 136", "e_tot_ev_per_cell": -57.63, "magnetic_moment_mub_per_atom": 0.00}



{"formula": "Ac12La5Sm", "functional": "PBE", "state": "optimized geometry", "lattice_angstrom": [[10.118, -5.889, 0.000], [10.118, 5.889, 0.000], [-2.173, 0.000, 6.385]], "species": ["Ac", "Ac", "Ac", "Ac", "Ac", "Ac", "Ac", "Ac", "Ac", "Ac", "Ac", "Ac", "La", "La", "La", "La", "La", "Sm"], "fractional_positions": [[0.002, 0.330, 0.500], [0.163, 0.837, 0.000], [0.169, 0.497, 0.999], [0.330, 0.002, 0.500], [0.335, 0.665, 0.500], [0.497, 0.169, 0.999], [0.503, 0.831, 0.002], [0.665, 0.335, 0.500], [0.670, 0.998, 0.501], [0.831, 0.503, 0.002], [0.837, 0.163, 0.000], [0.998, 0.670, 0.501], [0.166, 0.166, 0.999], [0.333, 0.333, 0.499], [0.500, 0.500, 0.000], [0.667, 0.667, 0.501], [0.834, 0.834, 0.002], [0.000, 0.000, 0.500]], "ef_mev_per_atom": 27, "space_group": "Cm, No. 8", "e_tot_ev_per_cell": -78.17, "magnetic_moment_mub_per_atom": 0.00}



{"formula": "Ac7La4Sm", "functional": "PBE", "state": "optimized geometry", "lattice_angstrom": [[6.729, 0.000, 0.000], [0.037, 7.755, 0.000], [3.289, 2.005, 9.508]], "species": ["Ac", "Ac", "Ac", "Ac", "Ac", "Ac", "Ac", "La", "La", "La", "La", "Sm"], "fractional_positions": [[0.000, 0.000, 0.000], [0.164, 0.418, 0.335], [0.332, 0.833, 0.667], [0.497, 0.252, 0.998], [0.503, 0.748, 0.002], [0.668, 0.167, 0.333], [0.836, 0.582, 0.665], [0.167, 0.915, 0.335], [0.334, 0.333, 0.667], [0.666, 0.667, 0.333], [0.833, 0.085, 0.665], [0.000, 0.500, 0.000]], "ef_mev_per_atom": 26, "space_group": "P-1, No. 2", "e_tot_ev_per_cell": -52.88, "magnetic_moment_mub_per_atom": 0.00}



{"formula": "Ac2La3Sm2", "functional": "PBE", "state": "optimized geometry", "lattice_angstrom": [[9.253, -1.852, 0.000], [9.253, 1.852, 0.000], [-4.334, 0.000, 7.875]], "species": ["Ac", "Ac", "La", "La", "La", "Sm", "Sm"], "fractional_positions": [[0.066, 0.066, 0.228], [0.934, 0.934, 0.772], [0.285, 0.285, 0.363], [0.500, 0.500, 0.500], [0.715, 0.715, 0.637], [0.349, 0.349, 0.040], [0.651, 0.651, 0.960]], "ef_mev_per_atom": 129, "space_group": "C2/m, No. 12", "e_tot_ev_per_cell": -31.54, "magnetic_moment_mub_per_atom": 0.00}



{"formula": "AcLaSm2", "functional": "PBE", "state": "optimized geometry", "lattice_angstrom": [[0.000, 4.219, 4.219], [4.219, 0.000, 4.219], [4.219, 4.219, 0.000]], "species": ["Ac", "La", "Sm", "Sm"], "fractional_positions": [[0.000, 0.000, 0.000], [0.500, 0.500, 0.500], [0.250, 0.250, 0.250], [0.750, 0.750, 0.750]], "ef_mev_per_atom": 115, "space_group": "Fm-3m, No. 225", "e_tot_ev_per_cell": -18.01, "magnetic_moment_mub_per_atom": 0.00}



{"formula": "Ac5La4Sm2", "functional": "PBE", "state": "optimized geometry", "lattice_angstrom": [[9.485, 0.000, 0.000], [0.000, 3.724, 0.000], [-0.344, 0.000, 12.691]], "species": ["Ac", "Ac", "Ac", "Ac", "Ac", "La", "La", "La", "La", "Sm", "Sm"], "fractional_positions": [[0.000, 0.000, 0.000], [0.196, 0.000, 0.530], [0.286, 0.000, 0.819], [0.714, 0.000, 0.181], [0.804, 0.000, 0.470], [0.075, 0.500, 0.269], [0.463, 0.500, 0.355], [0.537, 0.500, 0.645], [0.925, 0.500, 0.731], [0.350, 0.000, 0.115], [0.650, 0.000, 0.885]], "ef_mev_per_atom": 140, "space_group": "P2/m, No. 10", "e_tot_ev_per_cell": -48.15, "magnetic_moment_mub_per_atom": 0.00}